! EuCu3B, optimized geometry, DFT PBE; values from VASP
! symmetry	Pm-3m
! D(E_F)	13.852	states/eV/cell
! DFT formation energy	23	meV per atom
! calculated total energy	-29.13	eV for the cell shown
&SYSTEM
  ibrav = 0, nat = 5, ntyp = 3
/
ATOMIC_SPECIES
Eu 151.96 Eu.upf
Cu 63.55 Cu.upf
B 10.81 B.upf
CELL_PARAMETERS angstrom
4.223 0.000 0.000
0.000 4.223 0.000
0.000 0.000 4.223
ATOMIC_POSITIONS angstrom
Eu 0.000 0.000 0.000
Cu 0.000 2.111 2.111
Cu 2.111 0.000 2.111
Cu 2.111 2.111 0.000
B 2.111 2.111 2.111